(1)
Material: Li8Mn7FeB8O24
Method: DFT, PBE+U
State: optimized geometry

Cell: 5.2275 5.2352 20.1825 Å, 90.98 90.92 119.17°
Last column: nearest neighbours and their distance in Å.
Fractional positions:
Li 0.0000 0.0000 0.0000  4 O 1.95-2.05
Li 0.0012 0.0007 0.5030  4 O 1.95-2.06
Li 0.0082 0.9887 0.7529  4 O 1.95-2.05
Li 0.0129 0.9935 0.2508  4 O 1.95-2.05
Li 0.6708 0.6791 0.8769  4 O 1.92-2.05
Li 0.6724 0.6830 0.3763  4 O 1.91-2.06
Li 0.6901 0.6614 0.6277  4 O 1.91-2.05
Li 0.6933 0.6631 0.1268  4 O 1.92-2.05
Mn 0.0232 0.3451 0.6438  5 O 2.11-2.13
Mn 0.0250 0.3471 0.1415  5 O 2.09-2.15
Mn 0.3346 0.6663 0.0183  5 O 2.08-2.15
Mn 0.3369 0.6657 0.5177  5 O 2.08-2.17
Mn 0.3562 0.0132 0.8914  5 O 2.09-2.15
Mn 0.3557 0.0146 0.3937  5 O 2.09-2.16
Mn 0.6779 0.3278 0.2682  5 O 2.08-2.15
Fe 0.6747 0.3266 0.7668  5 O 2.05-2.15
B 0.0080 0.3358 0.3957  3 O 1.38-1.40
B 0.0086 0.3365 0.8943  3 O 1.38-1.40
B 0.3440 0.6714 0.7704  3 O 1.37-1.41
B 0.3451 0.9982 0.6463  3 O 1.38-1.40
B 0.3457 0.6743 0.2702  3 O 1.38-1.41
B 0.3483 0.0016 0.1452  3 O 1.38-1.40
B 0.6806 0.3336 0.0196  3 O 1.38-1.41
B 0.6838 0.3354 0.5214  3 O 1.38-1.41
O 0.0710 0.9705 0.6531  1 B 1.38
O 0.0750 0.9770 0.1513  1 B 1.38
O 0.0941 0.4149 0.7482  1 B 1.40
O 0.1014 0.4174 0.2470  1 B 1.39
O 0.2714 0.5879 0.9126  1 B 1.40
O 0.2721 0.5878 0.4132  1 B 1.40
O 0.3141 0.9180 0.2885  1 B 1.41
O 0.3201 0.9202 0.7874  1 B 1.41
O 0.3771 0.7621 0.1230  1 B 1.40
O 0.3767 0.7619 0.6234  1 B 1.40
O 0.4235 0.0886 0.9968  1 B 1.39
O 0.4270 0.0901 0.4982  1 B 1.40
O 0.5953 0.2644 0.6640  1 B 1.40
O 0.6000 0.2649 0.1628  1 B 1.40
O 0.6116 0.6828 0.7768  1 B 1.37
O 0.6168 0.6921 0.2765  1 B 1.38
O 0.6990 0.6044 0.0260  1 B 1.38
O 0.7009 0.6054 0.5274  1 B 1.38
O 0.7689 0.3643 0.3730  1 B 1.40
O 0.7691 0.3647 0.8717  1 B 1.40
O 0.9248 0.3016 0.0374  1 B 1.41
O 0.9282 0.3049 0.5398  1 B 1.41
O 0.9832 0.0632 0.4027  1 B 1.38
O 0.9848 0.0636 0.9003  1 B 1.38

Properties
Crystal system = triclinic
DFT total energy = -6.831 eV/atom

=====

(2)
Material: Li8Mn7FeB8O24
Method: DFT, PBE+U
State: optimized geometry

Cell: 5.2495 9.0697 11.1501 Å, 108.65 90.09 91.19°
Last column: nearest neighbours and their distance in Å.
Fractional positions:
Li 0.0000 0.0000 0.0000  4 O 1.93-2.04
Li 0.0002 0.4984 0.4935  4 O 1.93-2.07
Li 0.3123 0.2328 0.6765  4 O 1.96-2.05
Li 0.3136 0.7325 0.1790  4 O 1.94-2.07
Li 0.4988 0.4994 0.9998  4 O 1.94-2.03
Li 0.5007 0.9979 0.4958  4 O 1.94-2.06
Li 0.8104 0.7338 0.6731  4 O 1.93-2.04
Li 0.8129 0.2333 0.1783  4 O 1.93-2.07
Mn 0.3325 0.4124 0.2148  5 O 2.08-2.25
Mn 0.4810 0.3164 0.4550  4 O 2.10-2.17
Mn 0.4815 0.8180 0.9584  5 O 2.11-2.33
Mn 0.8318 0.4185 0.7163  5 O 2.10-2.35
Mn 0.8350 0.9137 0.2146  5 O 2.10-2.22
Mn 0.9812 0.3168 0.9593  5 O 2.10-2.31
Mn 0.9823 0.8153 0.4539  4 O 2.09-2.17
Fe 0.3211 0.9152 0.7163  4 O 2.02-2.18
B 0.3301 0.5832 0.7047  3 O 1.38-1.41
B 0.3307 0.0795 0.2065  3 O 1.38-1.40
B 0.4805 0.1518 0.9693  3 O 1.38-1.40
B 0.4810 0.6516 0.4639  3 O 1.38-1.41
B 0.8294 0.0803 0.7069  3 O 1.38-1.40
B 0.8293 0.5782 0.2061  3 O 1.38-1.40
B 0.9824 0.1518 0.4649  3 O 1.38-1.41
B 0.9819 0.6533 0.9717  3 O 1.38-1.40
O 0.0721 0.0906 0.1891  1 B 1.38
O 0.0716 0.5923 0.6859  1 B 1.38
O 0.2402 0.1424 0.4858  1 B 1.38
O 0.2410 0.6430 0.9865  1 B 1.38
O 0.3290 0.0163 0.9221  1 B 1.40
O 0.3309 0.5147 0.4167  1 B 1.41
O 0.3652 0.2970 0.0043  1 B 1.40
O 0.3660 0.7957 0.4962  1 B 1.39
O 0.4459 0.4390 0.6751  1 B 1.40
O 0.4457 0.9354 0.1764  1 B 1.39
O 0.4796 0.7206 0.7492  1 B 1.41
O 0.4815 0.2158 0.2500  1 B 1.40
O 0.5698 0.5859 0.1889  1 B 1.38
O 0.5708 0.0851 0.6879  1 B 1.38
O 0.7392 0.1412 0.9861  1 B 1.38
O 0.7391 0.6417 0.4839  1 B 1.38
O 0.8306 0.5179 0.9244  1 B 1.40
O 0.8329 0.0148 0.4169  1 B 1.41
O 0.8655 0.7985 0.0071  1 B 1.40
O 0.8661 0.2959 0.4974  1 B 1.39
O 0.9495 0.4356 0.1757  1 B 1.39
O 0.9519 0.9373 0.6759  1 B 1.40
O 0.9770 0.2178 0.7513  1 B 1.40
O 0.9770 0.7156 0.2492  1 B 1.40

Properties
Crystal system = triclinic
DFT total energy = -7.165 eV/atom

=====

(3)
Material: Li4Mn3FeB4O12
Method: DFT, PBE+U
State: optimized geometry

Cell: 5.2532 5.8998 16.1954 Å, 80.93 88.92 88.82°
Last column: nearest neighbours and their distance in Å.
Fractional positions:
Li 0.1495 0.4313 0.1134  4 O 1.93-2.05
Li 0.1614 0.9297 0.6117  4 O 1.94-2.05
Li 0.3374 0.8169 0.1382  4 O 1.96-2.04
Li 0.3442 0.3272 0.6368  4 O 1.94-2.07
Li 0.6558 0.6728 0.3632  4 O 1.94-2.07
Li 0.6626 0.1831 0.8618  4 O 1.96-2.04
Li 0.8386 0.0703 0.3883  4 O 1.94-2.05
Li 0.8505 0.5687 0.8866  4 O 1.93-2.05
Mn 0.1728 0.5380 0.2916  5 O 2.09-2.21
Mn 0.1817 0.0335 0.7903  5 O 2.11-2.33
Mn 0.3175 0.2082 0.4593  5 O 2.12-2.18
Mn 0.6825 0.7918 0.5407  5 O 2.12-2.18
Mn 0.8183 0.9665 0.2097  5 O 2.11-2.33
Mn 0.8272 0.4620 0.7084  5 O 2.09-2.21
Fe 0.3347 0.7211 0.9621  4 O 2.01-2.18
Fe 0.6653 0.2789 0.0379  4 O 2.01-2.18
B 0.1772 0.2134 0.9554  3 O 1.38-1.40
B 0.1776 0.7108 0.4524  3 O 1.38-1.40
B 0.3190 0.0354 0.2978  3 O 1.38-1.40
B 0.3319 0.5387 0.7978  3 O 1.38-1.40
B 0.6681 0.4613 0.2022  3 O 1.38-1.40
B 0.6810 0.9646 0.7022  3 O 1.38-1.40
B 0.8224 0.2892 0.5476  3 O 1.38-1.40
B 0.8228 0.7866 0.0446  3 O 1.38-1.40
O 0.0799 0.2648 0.5622  1 B 1.38
O 0.0815 0.7634 0.0576  1 B 1.38
O 0.1684 0.1781 0.3410  1 B 1.40
O 0.1869 0.6718 0.8465  1 B 1.40
O 0.2022 0.9080 0.2434  1 B 1.40
O 0.2098 0.4247 0.7411  1 B 1.39
O 0.2925 0.3268 0.0140  1 B 1.40
O 0.2954 0.8416 0.5052  1 B 1.40
O 0.3266 0.5636 0.4102  1 B 1.40
O 0.3286 0.0837 0.9076  1 B 1.40
O 0.4081 0.4847 0.1909  1 B 1.38
O 0.4234 0.9901 0.6879  1 B 1.38
O 0.5766 0.0099 0.3121  1 B 1.38
O 0.5919 0.5153 0.8091  1 B 1.38
O 0.6714 0.9163 0.0924  1 B 1.40
O 0.6734 0.4364 0.5898  1 B 1.40
O 0.7046 0.1584 0.4948  1 B 1.40
O 0.7075 0.6732 0.9860  1 B 1.40
O 0.7902 0.5753 0.2589  1 B 1.39
O 0.7978 0.0920 0.7566  1 B 1.40
O 0.8131 0.3282 0.1535  1 B 1.40
O 0.8316 0.8219 0.6590  1 B 1.40
O 0.9185 0.2366 0.9424  1 B 1.38
O 0.9201 0.7352 0.4378  1 B 1.38

Properties
Crystal system = triclinic
DFT total energy = -7.015 eV/atom

=====

What is the DFT total energy in the third record? -7.015 eV/atom